Density functional theory data (PBE) for a relaxed Ba2CdAgAu crystal.

Geometry as extended XYZ:
```
10
Lattice="-2.182 0.311 -4.385 -7.572 -2.697 3.577 0.773 8.272 0.202" Properties=species:S:1:pos:R:3 pbc="T T T"
Ag -5.131 1.173 1.264
Ag -3.850 4.713 -1.869
Ba -1.296 2.746 -0.534
Ba -2.038 7.141 0.148
Ba -7.685 3.141 -0.072
Ba -6.943 -1.255 -0.753
Au -6.651 5.295 2.312
Au -2.330 0.592 -2.918
Cd -4.735 1.776 -1.637
Cd -4.246 4.111 1.032
```

Properties
As for the symmetry: P2_1/m. Its electronic total energy is -26.2 eV per cell. The value obtained for the density is 6.9 g/cm³. The formation energy is -0.446 eV per atom. The calculation puts the density of states at the Fermi level at 5.06 states/eV per cell.


Density functional theory data (PBE) for a relaxed Ba2Cd4Ag3Au crystal.

Geometry as extended XYZ:
```
10
Lattice="4.958 0.000 0.000 0.000 4.958 0.000 0.000 0.000 11.221" Properties=species:S:1:pos:R:3 pbc="T T T"
Cd 2.479 2.479 0.000
Cd 0.000 2.479 4.239
Cd 0.000 0.000 0.000
Cd 2.479 0.000 6.982
Ba 2.479 0.000 2.937
Ba 0.000 2.479 8.285
Au 2.479 2.479 5.611
Ag 0.000 0.000 5.611
Ag 0.000 2.479 1.458
Ag 2.479 0.000 9.763
```

Properties
As for the symmetry: P-4m2. Its electronic total energy is -22.2 eV per cell. The value obtained for the density is 7.5 g/cm³. The formation energy is -0.289 eV per atom. The calculation puts the density of states at the Fermi level at 3.90 states/eV per cell.


Density functional theory data (PBE) for a relaxed BaCdAgAu3 crystal.

Geometry as extended XYZ:
```
12
Lattice="-4.260 2.579 -5.029 -5.249 -3.414 2.696 1.247 6.814 2.437" Properties=species:S:1:pos:R:3 pbc="T T T"
Au -3.744 -2.435 1.923
Au -1.504 2.273 -0.051
Au -1.506 -0.979 0.773
Au -3.636 0.310 -1.741
Au -6.758 3.706 0.154
Au -5.874 -1.145 -0.592
Cd -6.177 1.550 -1.443
Cd -2.086 4.429 1.547
Ba -4.035 5.049 -1.464
Ba -4.227 0.930 1.567
Ag -3.353 2.518 -3.339
Ag -4.910 3.460 3.443
```

Properties
As for the symmetry: Cmcm. Its electronic total energy is -34.1 eV per cell. The value obtained for the density is 10.0 g/cm³. The formation energy is -0.257 eV per atom. The calculation puts the density of states at the Fermi level at 3.86 states/eV per cell.


Density functional theory data (PBE) for a relaxed Ba2Cd4AgAu3 crystal.

Geometry as extended XYZ:
```
10
Lattice="-2.713 -2.574 3.127 3.883 -2.721 1.129 2.700 7.328 8.373" Properties=species:S:1:pos:R:3 pbc="T T T"
Ba -0.665 0.589 3.707
Ba 3.950 4.091 6.794
Au 0.981 5.059 8.814
Au 2.303 -0.378 1.687
Au 1.350 3.664 4.187
Cd 0.585 -2.647 2.128
Cd 0.327 3.281 6.784
Cd 0.000 0.000 0.000
Cd 2.958 1.399 3.718
Ag 1.935 1.017 6.315
```

Properties
As for the symmetry: P-4m2. Its electronic total energy is -24.4 eV per cell. The value obtained for the density is 8.7 g/cm³. The formation energy is -0.423 eV per atom. The calculation puts the density of states at the Fermi level at 3.38 states/eV per cell.


Record order is preserved below.
Total magnetization: 0.00, 0.00, 0.00, 0.00 μB/f.u.